Compound: RbGeSeF2
Source: the Alexandria database
Functional: PBE-GGA
Structure: relaxed

```
data_RbGeSeF2
_chemical_formula_sum 'Rb1 Ge1 Se1 F2'
_space_group_name_H-M_alt 'P 4/m m m'
_space_group_IT_number 123
_space_group_name_Hall '-P 4 2'
_cell_length_a 5.312
_cell_length_b 5.312
_cell_length_c 4.568
_cell_angle_alpha 90.00
_cell_angle_beta 90.00
_cell_angle_gamma 90.00
loop_
_atom_site_label
_atom_site_fract_x
_atom_site_fract_y
_atom_site_fract_z
Rb1 0.000 0.000 0.000
Ge1 0.500 0.500 0.000
Se1 0.500 0.500 0.500
F1 0.000 0.500 0.500
```

Compound: Rb2GeSeF6
Source: the Alexandria database
Functional: PBE-GGA
Structure: relaxed

```
data_Rb2GeSeF6
_chemical_formula_sum 'Rb4 Ge2 Se2 F12'
_space_group_name_H-M_alt 'I 4/m m m'
_space_group_IT_number 139
_space_group_name_Hall '-I 4 2'
_cell_length_a 7.097
_cell_length_b 7.097
_cell_length_c 8.129
_cell_angle_alpha 90.00
_cell_angle_beta 90.00
_cell_angle_gamma 90.00
loop_
_atom_site_label
_atom_site_fract_x
_atom_site_fract_y
_atom_site_fract_z
Rb1 0.000 0.500 0.250
Ge1 0.000 0.000 0.000
Se1 0.000 0.000 0.500
F1 0.000 0.000 0.233
F2 0.181 0.181 0.000
```

Compound: Rb2SiGeF6
Source: the Alexandria database
Functional: PBE-GGA
Structure: relaxed

```
data_Rb2SiGeF6
_chemical_formula_sum 'Rb8 Si4 Ge4 F24'
_space_group_name_H-M_alt 'F m -3 m'
_space_group_IT_number 225
_space_group_name_Hall '-F 4 2 3'
_cell_length_a 8.862
_cell_length_b 8.862
_cell_length_c 8.862
_cell_angle_alpha 90.00
_cell_angle_beta 90.00
_cell_angle_gamma 90.00
loop_
_atom_site_label
_atom_site_fract_x
_atom_site_fract_y
_atom_site_fract_z
Rb1 0.250 0.250 0.250
Si1 0.000 0.000 0.000
Ge1 0.000 0.000 0.500
F1 0.000 0.000 0.245
```

For the records above, the corresponding DOS(E_F) values read 2.32, 0.00, 0.00 states/eV/f.u..
For the records above, the corresponding magnetic moment values read 0.000, 0.000, 0.000 μB/cell.
For the records above, the corresponding ΔE_f (raw) values read -0.818, -2.165, -2.284 eV/atom.